# 1
Below is crystalline LiPuIrRh at its relaxed geometry, with properties calculated at the PBE level.

As for the crystal system: cubic. Its distance to the lowest polymorph of the same formula is 0 meV/atom. The formation energy comes out at -1.5 eV/f.u.

Cell and atoms, written as POSCAR:
```
LiPuIrRh
1.0
0.000 3.211 3.211
3.211 0.000 3.211
3.211 3.211 0.000
Li Pu Ir Rh
1 1 1 1
Cartesian
0.000 0.000 0.000
3.211 3.211 3.211
4.816 4.816 4.816
1.605 1.605 1.605
```

---

# 2
Below is crystalline LiPuIrRu at its relaxed geometry, with properties calculated at the PBE level.

As for the crystal system: cubic. The formation energy comes out at -0.9 eV/f.u.

Cell and atoms, written as POSCAR:
```
LiPuIrRu
1.0
0.000 3.183 3.183
3.183 0.000 3.183
3.183 3.183 0.000
Li Pu Ir Ru
1 1 1 1
Cartesian
0.000 0.000 0.000
3.183 3.183 3.183
1.592 1.592 1.592
4.775 4.775 4.775
```

---

# 3
Below is crystalline LiPuScIr at its relaxed geometry, with properties calculated at the PBE level.

As for the crystal system: cubic. The formation energy comes out at -1.5 eV/f.u.

Cell and atoms, written as POSCAR:
```
LiPuScIr
1.0
0.000 3.375 3.375
3.375 0.000 3.375
3.375 3.375 0.000
Li Pu Sc Ir
1 1 1 1
Cartesian
0.000 0.000 0.000
1.688 1.688 1.688
5.063 5.063 5.063
3.375 3.375 3.375
```

---

# 4
Below is crystalline LiSmPuIr at its relaxed geometry, with properties calculated at the PBE level.

As for the crystal system: cubic. The formation energy comes out at -1.2 eV/f.u.

Cell and atoms, written as POSCAR:
```
LiSmPuIr
1.0
0.000 3.511 3.511
3.511 0.000 3.511
3.511 3.511 0.000
Li Sm Pu Ir
1 1 1 1
Cartesian
0.000 0.000 0.000
5.266 5.266 5.266
1.755 1.755 1.755
3.511 3.511 3.511
```